Below is a relaxed structure of NaSmH, with properties calculated at the PBE level.

## Properties
VASP energy in eV/atom: -3.20
Distance to the lowest polymorph of the same formula in meV/atom: 0
Space group: P3m1 (156)

Cell lengths 3.5042, 3.5042, 6.4390 Å; angles 90.00, 90.00, 120.00 degrees
Closest atoms and distances in Å follow each position.
Sites, in units of the cell vectors:
1 Na 0.0000 0.0000 0.0000  3 H 2.83
2 Sm 0.3333 0.6667 0.4893  3 H 2.34
3 H 0.6667 0.3333 0.3070  3 Sm 2.34